# NaCe3Se4

Crystalline NaCe3Se4 at its relaxed geometry (PBE, the Alexandria database).

abc: 5.948 5.948 5.948
angles: 90.00 90.00 90.00
Positions (direct):
Na 0.000 0.000 0.000
Ce 0.000 0.500 0.500
Ce 0.500 0.000 0.500
Ce 0.500 0.500 0.000
Se 0.000 0.000 0.500
Se 0.000 0.500 0.000
Se 0.500 0.000 0.000
Se 0.500 0.500 0.500

Polymorph energy (0 for the lowest one) ... 0.00 eV/f.u.
E_form (uncorrected) ... -164.94 kJ per mole of atoms
SG ... Pm-3m